## HfVBrO4 (PBE+U)

Data for crystalline HfVBrO4 at its relaxed geometry.

Energy in Ha/atom: -0.28774
Magnetization in μB per cell: 0.0

Lattice parameters (Å, degrees): 10.070 6.740 6.558 90.00 107.37 90.00
Space group C2/m (No. 12)
Asymmetric unit:
Hf 0.241 0.000 0.114
V 0.136 0.500 0.276
Br 0.009 0.000 0.759
O 0.042 0.500 0.792
O 0.202 0.306 0.146
O 0.208 0.500 0.546